TaZnSb2: relaxed, GGA-PBE.

abc: 4.9589 4.9589 4.9589
angles: 60.00 60.00 60.00
Element x y z (fractional)
Ta1 0.0000 0.0000 0.0000
Zn1 0.2500 0.2500 0.2500
Sb1 0.5000 0.5000 0.5000
Sb2 0.7500 0.7500 0.7500

Results
The crystal system is cubic. The space group is F-43m, No. 216. Its raw formation energy is 0.64 eV/atom. The calculation puts the density of states at the Fermi level at 1.0275 states/eV/atom. The value obtained for the magnetization is 0.00 μB per formula unit.

TaZn2Sb: relaxed, GGA-PBE.

abc: 2.9256 4.9568 5.2304
angles: 90.00 99.15 90.00
Element x y z (fractional)
Ta1 0.0000 0.0000 0.0000
Zn1 0.3703 0.5000 0.2161
Zn2 0.6297 0.5000 0.7839
Sb1 0.5000 0.0000 0.5000

Results
The crystal system is monoclinic. The space group is P2/m, No. 10. Its raw formation energy is 0.24 eV/atom. The calculation puts the density of states at the Fermi level at 0.4450 states/eV/atom. The value obtained for the magnetization is 0.00 μB per formula unit.

TaZnSb: relaxed, GGA-PBE.

abc: 3.7480 3.7480 8.3439
angles: 90.00 90.00 90.00
Element x y z (fractional)
Ta1 0.2500 0.2500 0.2397
Ta2 0.7500 0.7500 0.7603
Zn1 0.2500 0.7500 0.5000
Zn2 0.7500 0.2500 0.5000
Sb1 0.2500 0.2500 0.8787
Sb2 0.7500 0.7500 0.1213

Results
The crystal system is tetragonal. The space group is P4/nmm, No. 129. Its raw formation energy is 0.14 eV/atom. The calculation puts the density of states at the Fermi level at 0.6487 states/eV/atom. The value obtained for the magnetization is 0.00 μB per formula unit.

Look up the magnetization of the second one. 0.00 μB per formula unit